[1]
An optimized crystal structure of ScHgSe2, computed with PBE-GGA.

formation energy from raw total energies	-694	meV/atom
raw total energy	-49.1	eV/cell

Structure (CIF):
```
data_ScHgSe2
_chemical_formula_sum 'Sc3 Hg3 Se6'
_space_group_name_H-M_alt 'R 3 m'
_space_group_IT_number 160
_space_group_name_Hall 'R 3 -2"'
_cell_length_a 4.1411
_cell_length_b 4.1411
_cell_length_c 22.5935
_cell_angle_alpha 90.00
_cell_angle_beta 90.00
_cell_angle_gamma 120.00
loop_
_atom_site_label
_atom_site_type_symbol
_atom_site_fract_x
_atom_site_fract_y
_atom_site_fract_z
Sc1 Sc 0.0000 0.0000 0.0000
Hg1 Hg 0.0000 0.0000 0.2508
Se1 Se 0.0000 0.0000 0.5320
Se2 Se 0.0000 0.0000 0.7171
```

---

[2]
An optimized crystal structure of ScHgSe2, computed with PBE-GGA.

formation energy from raw total energies	-516	meV/atom
raw total energy	-15.7	eV/cell

Structure (CIF):
```
data_ScHgSe2
_chemical_formula_sum 'Sc1 Hg1 Se2'
_space_group_name_H-M_alt 'P 4 m m'
_space_group_IT_number 99
_cell_length_a 3.3446
_cell_length_b 3.3446
_cell_length_c 8.8677
_cell_angle_alpha 90.00
_cell_angle_beta 90.00
_cell_angle_gamma 90.00
loop_
_space_group_symop_operation_xyz
'x,y,z'
'-y,x,z'
'-x,-y,z'
'y,-x,z'
'-x,y,z'
'y,x,z'
'x,-y,z'
'-y,-x,z'
loop_
_atom_site_label
_atom_site_type_symbol
_atom_site_fract_x
_atom_site_fract_y
_atom_site_fract_z
Sc1 Sc 0.0000 0.0000 0.0000
Hg1 Hg 0.5000 0.5000 0.7465
Se1 Se 0.0000 0.0000 0.5207
Se2 Se 0.5000 0.5000 0.1434
```

---

[3]
An optimized crystal structure of ScHgSe2, computed with PBE-GGA.

formation energy from raw total energies	-846	meV/atom
raw total energy	-17.0	eV/cell

Structure (CIF):
```
data_ScHgSe2
_chemical_formula_sum 'Sc1 Hg1 Se2'
_space_group_name_H-M_alt 'P 4 m m'
_space_group_IT_number 99
_cell_length_a 3.9252
_cell_length_b 3.9252
_cell_length_c 6.5247
_cell_angle_alpha 90.00
_cell_angle_beta 90.00
_cell_angle_gamma 90.00
loop_
_space_group_symop_operation_xyz
'x,y,z'
'-y,x,z'
'-x,-y,z'
'y,-x,z'
'-x,y,z'
'y,x,z'
'x,-y,z'
'-y,-x,z'
loop_
_atom_site_label
_atom_site_type_symbol
_atom_site_fract_x
_atom_site_fract_y
_atom_site_fract_z
Sc1 Sc 0.0000 0.0000 0.0000
Hg1 Hg 0.5000 0.5000 0.5744
Se1 Se 0.0000 0.0000 0.5957
Se2 Se 0.5000 0.5000 0.0704
```

---

[4]
An optimized crystal structure of ScHgSe3, computed with PBE-GGA.

formation energy from raw total energies	-353	meV/atom
raw total energy	-18.9	eV/cell
polymorph energy (0 for the lowest one)	0.0	meV/atom

Structure (CIF):
```
data_ScHgSe3
_chemical_formula_sum 'Sc1 Hg1 Se3'
_space_group_name_H-M_alt 'P m -3 m'
_space_group_IT_number 221
_space_group_name_Hall '-P 4 2 3'
_cell_length_a 5.2013
_cell_length_b 5.2013
_cell_length_c 5.2013
_cell_angle_alpha 90.00
_cell_angle_beta 90.00
_cell_angle_gamma 90.00
loop_
_atom_site_label
_atom_site_type_symbol
_atom_site_fract_x
_atom_site_fract_y
_atom_site_fract_z
Sc1 Sc 0.0000 0.0000 0.0000
Hg1 Hg 0.5000 0.5000 0.5000
Se1 Se 0.0000 0.0000 0.5000
```